Entry 1:
Material: NaCd3Pd
Method: DFT, PBEsol
State: optimized geometry

Output
Energy above the most stable polymorph in this dataset = 971.1 meV/atom
Formation energy from the elements = 0.94 eV per atom

Cell: 5.000 5.000 5.000 Å, 90.00 90.00 90.00°
Positions (direct):
Na (0.000, 0.000, 0.000)
Cd (0.000, 0.000, 0.500)
Cd (0.000, 0.500, 0.000)
Cd (0.500, 0.000, 0.000)
Pd (0.500, 0.500, 0.500)



Entry 2:
Material: Na2CdPd2
Method: DFT, PBEsol
State: optimized geometry

Output
Formation energy from the elements = -0.09 eV per atom

Cell: 6.763 6.763 4.464 Å, 90.00 90.00 90.00°
Positions (direct):
Na (0.167, 0.333, 0.000)
Na (0.333, 0.833, 0.000)
Na (0.667, 0.167, 0.000)
Na (0.833, 0.667, 0.000)
Cd (0.000, 0.000, 0.500)
Cd (0.500, 0.500, 0.500)
Pd (0.135, 0.635, 0.500)
Pd (0.365, 0.135, 0.500)
Pd (0.635, 0.865, 0.500)
Pd (0.865, 0.365, 0.500)



Entry 3:
Material: NaCdTePd2
Method: DFT, PBEsol
State: optimized geometry

Output
Final energy = -3.439 eV/atom

Cell: 4.988 4.988 5.501 Å, 90.00 90.00 90.00°
Positions (direct):
Na (0.000, 0.000, 0.000)
Cd (0.500, 0.500, 0.000)
Te (0.500, 0.500, 0.500)
Pd (0.000, 0.500, 0.500)
Pd (0.500, 0.000, 0.500)



Entry 4:
Material: NaCd3Pt
Method: DFT, PBEsol
State: optimized geometry

Output
Formation energy from the elements = -0.07 eV per atom

Cell: 5.160 5.160 5.160 Å, 90.00 90.00 90.00°
Positions (direct):
Na (0.000, 0.000, 0.000)
Cd (0.000, 0.500, 0.500)
Cd (0.500, 0.000, 0.500)
Cd (0.500, 0.500, 0.000)
Pt (0.500, 0.500, 0.500)



Entry 5:
Material: RbNa2Cd
Method: DFT, PBEsol
State: optimized geometry

Output
Formation energy from the elements = 0.07 eV per atom

Cell: 5.856 5.856 5.856 Å, 60.00 60.00 60.00°
Positions (direct):
Rb (0.000, 0.000, 0.000)
Na (0.250, 0.250, 0.250)
Na (0.750, 0.750, 0.750)
Cd (0.500, 0.500, 0.500)



Entry 6:
Material: Rb2NaCd2
Method: DFT, PBEsol
State: optimized geometry

Output
Formation energy from the elements = 0.04 eV per atom

Cell: 8.625 8.625 5.564 Å, 90.00 90.00 90.00°
Positions (direct):
Rb (0.177, 0.323, 0.000)
Rb (0.323, 0.823, 0.000)
Rb (0.677, 0.177, 0.000)
Rb (0.823, 0.677, 0.000)
Na (0.000, 0.000, 0.500)
Na (0.500, 0.500, 0.500)
Cd (0.119, 0.619, 0.500)
Cd (0.381, 0.119, 0.500)
Cd (0.619, 0.881, 0.500)
Cd (0.881, 0.381, 0.500)